The following is a GGA-PBE calculation of an optimized crystal structure of LaMg8Ni4, from the Alexandria database.

Cell lengths 7.151, 7.151, 7.151 Å; angles 98.22, 98.22, 135.58 degrees
Element x y z (fractional)
La (0.000, 0.000, 0.000)
Mg (0.000, 0.339, 0.339)
Mg (0.000, 0.661, 0.661)
Mg (0.278, 0.500, 0.778)
Mg (0.339, 0.000, 0.339)
Mg (0.500, 0.278, 0.778)
Mg (0.500, 0.722, 0.222)
Mg (0.661, 0.000, 0.661)
Mg (0.722, 0.500, 0.222)
Ni (0.000, 0.000, 0.500)
Ni (0.000, 0.500, 0.000)
Ni (0.500, 0.000, 0.000)
Ni (0.500, 0.500, 0.500)

Calculated values
E_form   -0.133 eV/atom
Crystal system   tetragonal
Total moment   0.000 μB per formula unit
SG   I4/mmm, No. 139

The following is a GGA-PBE calculation of an optimized crystal structure of La2MgNi, from the Alexandria database.

Cell lengths 3.431, 3.431, 8.878 Å; angles 90.00, 90.00, 90.00 degrees
Element x y z (fractional)
La (0.000, 0.000, 0.000)
La (0.500, 0.500, 0.361)
Mg (0.000, 0.000, 0.646)
Ni (0.500, 0.500, 0.808)

Calculated values
E_form   -0.053 eV/atom
Crystal system   tetragonal
Total moment   0.000 μB per formula unit
SG   P4mm, No. 99

The following is a GGA-PBE calculation of an optimized crystal structure of La3Mg3Ni2, from the Alexandria database.

Cell lengths 8.940, 8.940, 5.237 Å; angles 99.48, 99.48, 29.41 degrees
Element x y z (fractional)
La (0.000, 0.000, 0.000)
La (0.169, 0.169, 0.594)
La (0.831, 0.831, 0.406)
Mg (0.357, 0.357, 0.929)
Mg (0.500, 0.500, 0.500)
Mg (0.643, 0.643, 0.071)
Ni (0.223, 0.223, 0.117)
Ni (0.777, 0.777, 0.883)

Calculated values
E_form   -0.217 eV/atom
Crystal system   monoclinic
Total moment   0.000 μB per formula unit
SG   C2/m, No. 12

The following is a GGA-PBE calculation of an optimized crystal structure of LaMg14Ni, from the Alexandria database.

Cell lengths 6.454, 6.454, 10.222 Å; angles 90.00, 90.00, 120.00 degrees
Element x y z (fractional)
La (0.000, 0.000, 0.000)
Mg (0.017, 0.509, 0.000)
Mg (0.161, 0.322, 0.273)
Mg (0.161, 0.322, 0.727)
Mg (0.161, 0.839, 0.273)
Mg (0.161, 0.839, 0.727)
Mg (0.491, 0.509, 0.000)
Mg (0.491, 0.983, 0.000)
Mg (0.506, 0.012, 0.500)
Mg (0.506, 0.494, 0.500)
Mg (0.667, 0.333, 0.236)
Mg (0.667, 0.333, 0.764)
Mg (0.678, 0.839, 0.273)
Mg (0.678, 0.839, 0.727)
Mg (0.988, 0.494, 0.500)
Ni (0.000, 0.000, 0.500)

Calculated values
Excess energy over the best structure of this formula in the dataset   0.030 eV/atom
E_form   0.044 eV/atom
Crystal system   hexagonal
Total moment   0.272 μB per formula unit
SG   P-6m2, No. 187